(1)
Below is crystalline Pm3SmEr2 at its relaxed geometry, with properties calculated at the GGA-PBE level.

The space group is Ibam, No. 72. The energy above the lowest structure with this stoichiometry is 326 kJ/mol of formula units.

a b c (Å): 11.1291 8.9441 8.9441
angles (deg): 44.32 51.53 51.53
With the nearest neighbours (Å) after each atom.
Positions (direct):
Pm 0.5000 0.2500 0.7500  4 Pm 3.23-3.37
Pm 0.5000 0.7500 0.2500  4 Pm 3.23-3.37
Pm 0.2365 0.0135 0.5135  3 Pm 3.23-3.37, 4 Er 3.35-3.39, 2 Sm 3.36
Pm 0.7635 0.4865 0.9865  3 Pm 3.23-3.37, 4 Er 3.35-3.39, 2 Sm 3.36
Pm 0.7635 0.9865 0.4865  3 Pm 3.23-3.37, 4 Er 3.35-3.39, 2 Sm 3.36
Pm 0.2365 0.5135 0.0135  3 Pm 3.23-3.37, 4 Er 3.35-3.39, 2 Sm 3.36
Sm 0.0000 0.5000 0.5000  4 Pm 3.36, 2 Sm 3.37, 2 Er 3.60
Sm 0.0000 0.0000 0.0000  4 Pm 3.36, 2 Sm 3.37, 2 Er 3.60
Er 0.9220 0.3211 0.3211  4 Pm 3.35-3.39, 1 Sm 3.60
Er 0.5643 0.1789 0.1789  4 Pm 3.35-3.39, 1 Sm 3.60
Er 0.4357 0.8211 0.8211  4 Pm 3.35-3.39, 1 Sm 3.60
Er 0.0780 0.6789 0.6789  4 Pm 3.35-3.39, 1 Sm 3.60

(2)
Below is crystalline Cd4As at its relaxed geometry, with properties calculated at the GGA-PBE level.

The space group is I4/m, No. 87. The energy above the lowest structure with this stoichiometry is 0 kJ/mol of formula units.

a b c (Å): 5.4558 5.4558 5.4558
angles (deg): 99.66 99.66 131.64
With the nearest neighbours (Å) after each atom.
Positions (direct):
Cd 0.8007 0.4003 0.2009  9 Cd 3.14-3.16, 3 As 3.15-3.16
Cd 0.4003 0.1993 0.5996  9 Cd 3.14-3.16, 3 As 3.15-3.16
Cd 0.1993 0.5997 0.7991  9 Cd 3.14-3.16, 3 As 3.15-3.16
Cd 0.5997 0.8007 0.4004  9 Cd 3.14-3.16, 3 As 3.15-3.16
As 0.0000 0.0000 0.0000  12 Cd 3.15-3.16

(3)
Below is crystalline U2AlC2 at its relaxed geometry, with properties calculated at the GGA-PBE level.

The space group is I4/mmm, No. 139. As for the calculated total energy: -9.095 eV/atom.

a b c (Å): 3.4845 3.4845 6.8811
angles (deg): 104.67 104.67 90.00
With the nearest neighbours (Å) after each atom.
Positions (direct):
U 0.6498 0.6498 0.2997  5 C 2.38-2.47
U 0.3502 0.3502 0.7003  5 C 2.38-2.47
Al 0.0000 0.0000 0.0000  2 C 2.12
C 0.8352 0.8352 0.6704  1 Al 2.12
C 0.1648 0.1648 0.3296  1 Al 2.12

(4)
Below is crystalline Sc2TiBeH at its relaxed geometry, with properties calculated at the GGA-PBE level.

The space group is P4/mmm, No. 123. As for the calculated total energy: -5.554 eV/atom.

a b c (Å): 4.2934 4.2934 4.0686
angles (deg): 90.00 90.00 90.00
With the nearest neighbours (Å) after each atom.
Positions (direct):
Sc 0.0000 0.5000 0.0000  2 H 2.15
Sc 0.5000 0.0000 0.0000  2 H 2.15
Be 0.5000 0.5000 0.5000  8 Sc 2.96, 4 Ti 3.04
H 0.0000 0.0000 0.0000  2 Ti 2.03, 4 Sc 2.15
Ti 0.0000 0.0000 0.5000  2 H 2.03

(5)
Below is crystalline Tb2Ga3Au9 at its relaxed geometry, with properties calculated at the GGA-PBE level.

The space group is C2/c, No. 15. As for the calculated total energy: -3.911 eV/atom.

a b c (Å): 8.0344 8.0344 10.7464
angles (deg): 89.94 112.15 119.81
With the nearest neighbours (Å) after each atom.
Positions (direct):
Tb 0.3365 0.2486 0.7535  11 Au 3.06-3.26
Tb 0.6635 0.7514 0.2465  11 Au 3.06-3.26
Tb 0.9951 0.5830 0.7465  11 Au 3.06-3.26
Tb 0.0049 0.4170 0.2535  11 Au 3.06-3.26
Ga 0.5000 0.0000 0.0000  8 Au 2.64-2.78
Ga 0.5000 0.5000 0.5000  8 Au 2.64-2.78
Ga 0.8620 0.1859 0.5053  6 Au 2.59-2.81
Ga 0.1380 0.8141 0.4947  6 Au 2.59-2.81
Ga 0.1806 0.3567 0.9947  6 Au 2.59-2.81
Ga 0.8194 0.6433 0.0053  6 Au 2.59-2.81
Au 0.4378 0.9243 0.7415  2 Ga 2.59-2.64, 1 Au 2.88
Au 0.5622 0.0757 0.2585  2 Ga 2.59-2.64, 1 Au 2.88
Au 0.6828 0.6963 0.7585  2 Ga 2.59-2.64, 1 Au 2.88
Au 0.3172 0.3037 0.2415  2 Ga 2.59-2.64, 1 Au 2.88
Au 0.4411 0.6397 0.9151  3 Ga 2.63-2.81, 1 Au 2.90
Au 0.5589 0.3603 0.0849  3 Ga 2.63-2.81, 1 Au 2.90
Au 0.2246 0.5260 0.5849  3 Ga 2.63-2.81, 1 Au 2.90
Au 0.7754 0.4740 0.4151  3 Ga 2.63-2.81, 1 Au 2.90
Au 0.8902 0.1402 0.7500  2 Ga 2.59
Au 0.1098 0.8598 0.2500  2 Ga 2.59
Au 0.1296 0.9792 0.9212  2 Ga 2.68-2.92, 2 Au 2.88-2.92
Au 0.8704 0.0208 0.0788  2 Ga 2.68-2.92, 2 Au 2.88-2.92
Au 0.5580 0.2084 0.5788  2 Ga 2.68-2.92, 2 Au 2.88-2.92
Au 0.4420 0.7916 0.4212  2 Ga 2.68-2.92, 2 Au 2.88-2.92
Au 0.8805 0.8586 0.5715  3 Ga 2.67-2.78, 2 Au 2.92-2.93
Au 0.1195 0.1414 0.4285  3 Ga 2.67-2.78, 2 Au 2.92-2.93
Au 0.7871 0.3090 0.9285  3 Ga 2.67-2.78, 2 Au 2.92-2.93
Au 0.2129 0.6910 0.0715  3 Ga 2.67-2.78, 2 Au 2.92-2.93

(6)
Below is crystalline BeSeBr2 at its relaxed geometry, with properties calculated at the GGA-PBE level.

The space group is I-42d, No. 122. The uncorrected formation energy is -0.036 eV per atom. The energy above the lowest structure with this stoichiometry is 157 kJ/mol of formula units.

a b c (Å): 6.8783 6.8783 6.7835
angles (deg): 59.54 59.54 90.00
With the nearest neighbours (Å) after each atom.
Positions (direct):
Be 0.5000 0.5000 0.0000  4 Br 2.23
Be 0.2500 0.7500 0.5000  4 Br 2.23
Se 0.0000 0.0000 0.0000  4 Br 3.39
Se 0.7500 0.2500 0.5000  4 Br 3.39
Br 0.4874 0.1250 0.2500  2 Be 2.23
Br 0.2626 0.6250 0.2500  2 Be 2.23
Br 0.3750 0.5126 0.7500  2 Be 2.23
Br 0.8750 0.7374 0.7500  2 Be 2.23

(7)
Below is crystalline LiHf2ZrN4 at its relaxed geometry, with properties calculated at the GGA-PBE level.

The space group is I4/mmm, No. 139. The uncorrected formation energy is -1.575 eV per atom.

a b c (Å): 4.5003 4.5003 5.5120
angles (deg): 114.09 114.09 90.00
With the nearest neighbours (Å) after each atom.
Positions (direct):
Li 0.4372 0.4372 0.0000  6 N 2.25-2.28
Hf 0.1872 0.6872 0.5000  6 N 2.25
Hf 0.6872 0.1872 0.5000  6 N 2.25
Zr 0.9372 0.9372 0.0000  6 N 2.22-2.25
N 0.9372 0.4372 0.0000  2 Li 2.25, 2 Zr 2.25, 2 Hf 2.25
N 0.4372 0.9372 0.0000  2 Li 2.25, 2 Zr 2.25, 2 Hf 2.25
N 0.1833 0.1833 0.4924  1 Zr 2.22, 4 Hf 2.25, 1 Li 2.28
N 0.6910 0.6910 0.5076  1 Zr 2.22, 4 Hf 2.25, 1 Li 2.28

(8)
Below is crystalline ReRu2Au at its relaxed geometry, with properties calculated at the GGA-PBE level.

The space group is Pmmm, No. 47. The energy above the lowest structure with this stoichiometry is 35 kJ/mol of formula units.

a b c (Å): 2.7685 3.8443 5.6857
angles (deg): 90.00 90.00 90.00
With the nearest neighbours (Å) after each atom.
Positions (direct):
Au 0.5000 0.5000 0.2500  2 Au 2.77, 8 Ru 2.83, 2 Re 2.84
Re 0.5000 0.5000 0.7500  8 Ru 2.70, 2 Re 2.77, 2 Au 2.84
Ru 0.0000 0.0000 0.9787  3 Ru 2.60-2.77, 4 Re 2.70, 4 Au 2.83
Ru 0.0000 0.0000 0.5213  3 Ru 2.60-2.77, 4 Re 2.70, 4 Au 2.83

Question: What is the formula in the first record?
Answer: Pm3SmEr2